First-principles (GGA-PBE) data for a relaxed Ce2S3 crystal, as listed in Alexandria.

The density of states at the Fermi level comes out at 2.313 states/eV per atom. The raw formation energy is -2022 meV/atom. As for the magnetic moment: 0.373 μB/atom. The calculation puts the raw total energy at -0.2525 hartree per atom.

```
data_Ce2S3
_symmetry_space_group_name_H-M 'P n m a'
_symmetry_Int_Tables_number 62
_symmetry_space_group_name_Hall '-P 2ac 2n'
_cell_length_a 7.4678
_cell_length_b 4.0293
_cell_length_c 15.4155
_cell_angle_alpha 90.00
_cell_angle_beta 90.00
_cell_angle_gamma 90.00
loop_
_atom_site_label
_atom_site_fract_x
_atom_site_fract_y
_atom_site_fract_z
Ce1 0.1314 0.2500 0.2076
Ce2 0.2401 0.7500 0.4579
S1 0.0099 0.2500 0.3929
S2 0.1275 0.7500 0.0691
S3 0.1519 0.2500 0.7797
```

=====

First-principles (GGA-PBE) data for a relaxed Ce3S crystal, as listed in Alexandria.

The density of states at the Fermi level comes out at 2.575 states/eV per atom. The raw formation energy is -650 meV/atom. For the relative energy among the computed polymorphs, the calculation gives 11.4 kJ per mole of atoms. As for the magnetic moment: 0.000 μB/atom. The calculation puts the raw total energy at -0.2253 hartree per atom.

```
data_Ce3S
_symmetry_space_group_name_H-M 'P -4 m 2'
_symmetry_Int_Tables_number 115
_symmetry_space_group_name_Hall 'P -4 -2'
_cell_length_a 4.0645
_cell_length_b 4.0645
_cell_length_c 5.5357
_cell_angle_alpha 90.00
_cell_angle_beta 90.00
_cell_angle_gamma 90.00
loop_
_atom_site_label
_atom_site_fract_x
_atom_site_fract_y
_atom_site_fract_z
Ce1 0.0000 0.0000 0.0000
Ce2 0.0000 0.5000 0.4166
S1 0.5000 0.5000 0.0000
```

=====

First-principles (GGA-PBE) data for a relaxed Ce2SbS5 crystal, as listed in Alexandria.

The density of states at the Fermi level comes out at 1.094 states/eV per atom. The raw formation energy is -1372 meV/atom. For the relative energy among the computed polymorphs, the calculation gives 0.0 kJ per mole of atoms. As for the magnetic moment: 0.139 μB/atom. The calculation puts the raw total energy at -0.2187 hartree per atom.

```
data_Ce2SbS5
_symmetry_space_group_name_H-M 'P b a m'
_symmetry_Int_Tables_number 55
_symmetry_space_group_name_Hall '-P 2 2ab'
_cell_length_a 7.7343
_cell_length_b 11.6352
_cell_length_c 3.9919
_cell_angle_alpha 90.00
_cell_angle_beta 90.00
_cell_angle_gamma 90.00
loop_
_atom_site_label
_atom_site_fract_x
_atom_site_fract_y
_atom_site_fract_z
Ce1 0.0327 0.1749 0.0000
Sb1 0.0000 0.5000 0.5000
S1 0.0000 0.0000 0.5000
S2 0.1745 0.4001 0.0000
S3 0.1755 0.7006 0.5000
```